Density functional theory data (PBE with a Hubbard U) for a geometry-optimized La2VNiO6 structure.

Computed properties:
**E_tot**: -7.59 eV/atom
**Crystal system**: monoclinic

Unit cell a=5.584 b=5.684 c=9.547 alpha=90.00 beta=125.56 gamma=90.00
Space group P2_1/c (No. 14)
One atom of each set of equivalent atoms:
La (0.237, 0.043, 0.249) [4 per cell]
V (0.500, 0.000, 0.000) [2 per cell]
Ni (0.000, 0.000, 0.500) [2 per cell]
O (0.173, 0.204, 0.958) [4 per cell]
O (0.251, 0.716, 0.955) [4 per cell]
O (0.341, 0.017, 0.762) [4 per cell]